Entry from the Alexandria database: crystalline In2AgSe at its relaxed geometry (PBE-GGA).

Summary:
Uncorrected formation energy = 0.0308 eV/atom
Crystal system = tetragonal
Total magnetization = 0.0 μB/f.u.

abc: 4.575 4.575 9.175
angles: 90.00 90.00 90.00
Space group I-4m2 (No. 119)
Unique sites:
In 0.000 0.000 0.000 [2 per cell]
In 0.000 0.500 0.250 [2 per cell]
Ag 0.000 0.000 0.500 [2 per cell]
Se 0.000 0.500 0.750 [2 per cell]

=====

Entry from the Alexandria database: crystalline Hg2S2I at its relaxed geometry (PBE-GGA).

Summary:
Uncorrected formation energy = -0.0125 eV/atom
Crystal system = triclinic
Total magnetization = 0.0 μB/f.u.

abc: 6.480 7.352 7.560
angles: 60.91 81.12 71.84
Space group P-1 (No. 2)
Unique sites:
Hg 0.210 0.204 0.127 [2 per cell]
Hg 0.289 0.672 0.126 [2 per cell]
S 0.250 0.559 0.884 [2 per cell]
S 0.252 0.824 0.353 [2 per cell]
I 0.249 0.184 0.632 [2 per cell]

=====

Entry from the Alexandria database: crystalline Sm2Dy3Er5 at its relaxed geometry (PBE-GGA).

Summary:
Energy of formation = 0.199 eV/atom
Crystal system = monoclinic
Total magnetization = 0.0 μB/f.u.

abc: 10.579 15.762 9.373
angles: 90.00 124.19 90.00
Space group C2/c (No. 15)
Unique sites:
Sm 0.143 0.128 0.047 [8 per cell]
Dy 0.000 0.021 0.250 [4 per cell]
Dy 0.156 0.377 0.550 [8 per cell]
Er 0.000 0.230 0.250 [4 per cell]
Er 0.000 0.274 0.750 [4 per cell]
Er 0.000 0.474 0.750 [4 per cell]
Er 0.235 0.378 0.224 [8 per cell]

=====

Number 1: raw total energy -2.92 eV per atom. Number 2: raw total energy -2.09 eV per atom. Number 3: raw total energy -4.41 eV per atom.